The following is a PBE-GGA calculation of an optimized crystal structure of KFe2Te, from Alexandria.

Values from the calculation:
total moment = 5.9 μB per formula unit
uncorrected formation energy = 0.86 eV per atom
density of states at the Fermi level = 1.707 states/eV per atom

Lattice parameters (Å, degrees): 4.396 4.396 4.427 90.00 90.00 90.00
Space group P4/mmm (No. 123)
Inequivalent atoms, fractional coordinates:
K  0.000  0.000  0.000 [1 per cell]
Fe  0.000  0.500  0.500 [2 per cell]
Te  0.500  0.500  0.000 [1 per cell]